The following is a DFT calculation (PBE with a Hubbard U) of a relaxed FeCuPb2F crystal.

Unit cell a=5.698 b=5.698 c=4.902 alpha=90.00 beta=90.00 gamma=90.00
Fractional coordinates of all 5 atoms:
Fe: 0.000 0.000 0.000
Cu: 0.000 0.000 0.500
Pb: 0.000 0.500 0.000
Pb: 0.500 0.000 0.000
F: 0.500 0.500 0.500

Results
- SG: P4/mmm, No. 123
- Total energy: -3.415 eV per atom